1:
A crystal of MgZnSe relaxed with PBEsol, computed with meta-GGA SCAN.

The value obtained for the total magnetization is 0.00 Bohr magnetons per cell. Its crystal system is tetragonal.

The space group is P4/nmm (No. 129, origin choice 2) and the conventional cell measures 3.737, 3.737 and 8.515 Å, with angles of 90.00, 90.00 and 90.00 degrees. Symmetry generates all atoms from Mg at (0.250, 0.250, 0.151), Zn at (0.250, 0.750, 0.500) and Se at (0.250, 0.250, 0.831).

***

2:
A crystal of MgZnSe relaxed with PBEsol, computed with meta-GGA SCAN.

The value obtained for the total magnetization is 0.00 Bohr magnetons per cell. Its crystal system is hexagonal.

The space group is P6_3mc (No. 186) and the conventional cell measures 3.7220, 3.7220 and 10.1691 Å, with angles of 90.00, 90.00 and 120.00 degrees. Symmetry generates all atoms from Mg at (0.3333, 0.6667, 0.0000), Zn at (0.0000, 0.0000, 0.3084) and Se at (0.3333, 0.6667, 0.6643).

***

3:
A crystal of MgZnSe relaxed with PBEsol, computed with meta-GGA SCAN.

The value obtained for the total magnetization is 0.00 Bohr magnetons per cell. Its crystal system is hexagonal.

The space group is P-6m2 (No. 187) and the conventional cell measures 4.4278, 4.4278 and 3.5889 Å, with angles of 90.00, 90.00 and 120.00 degrees. Symmetry generates all atoms from Mg at (0.0000, 0.0000, 0.0000), Zn at (0.6667, 0.3333, 0.0000) and Se at (0.3333, 0.6667, 0.5000).

***

Which of them is the least stable? Correct choice: 3.

***

1:
A crystal of Mg2Zn2Se relaxed with PBEsol, computed with meta-GGA SCAN.

The value obtained for the total magnetization is 0.00 Bohr magnetons per cell. Its crystal system is trigonal.

The space group is P-3m1 (No. 164) and the conventional cell measures 3.8555, 3.8555 and 7.8356 Å, with angles of 90.00, 90.00 and 120.00 degrees. Symmetry generates all atoms from Mg at (0.3333, 0.6667, 0.1997), Zn at (0.3333, 0.6667, 0.5658) and Se at (0.0000, 0.0000, 0.0000).

***

2:
A crystal of Mg2Zn2Se relaxed with PBEsol, computed with meta-GGA SCAN.

The value obtained for the total magnetization is 0.00 Bohr magnetons per cell. Its crystal system is orthorhombic.

The space group is Fmmm (No. 69) and the conventional cell measures 4.914, 5.041 and 15.453 Å, with angles of 90.00, 90.00 and 90.00 degrees. Symmetry generates all atoms from Mg at (0.000, 0.000, 0.099), Zn at (0.250, 0.250, 0.250) and Se at (0.000, 0.000, 0.500).

***

Which of them is the least stable? Correct choice: 2.

***

1:
A crystal of Mg2SiTe relaxed with PBEsol, computed with meta-GGA SCAN.

The value obtained for the total magnetization is 0.00 Bohr magnetons per cell. Its crystal system is cubic.

The space group is F-43m (No. 216) and the conventional cell measures 7.012, 7.012 and 7.012 Å, with angles of 90.00, 90.00 and 90.00 degrees. Symmetry generates all atoms from Mg at (0.000, 0.000, 0.000), Mg at (0.250, 0.250, 0.250), Si at (0.250, 0.250, 0.750) and Te at (0.000, 0.000, 0.500).

***

2:
A crystal of Mg2SiTe relaxed with PBEsol, computed with meta-GGA SCAN.

The value obtained for the total magnetization is 0.00 Bohr magnetons per cell. Its crystal system is tetragonal.

The space group is P4/mmm (No. 123) and the conventional cell measures 3.712, 3.712 and 6.167 Å, with angles of 90.00, 90.00 and 90.00 degrees. Symmetry generates all atoms from Mg at (0.000, 0.000, 0.233), Si at (0.500, 0.500, 0.000) and Te at (0.500, 0.500, 0.500).

***

Which of them is the least stable? Correct choice: 1.